(1)
Computed, not measured: BaLi2Se2 after structural relaxation at the PBE level of DFT.

Structure (POSCAR):
```
BaLi2Se2
1.0
8.301 0.000 0.000
0.000 8.301 0.000
0.000 0.000 3.867
Ba Li Se
2 4 4
direct
0.000 0.000 0.000 Ba
0.500 0.500 0.000 Ba
0.111 0.389 0.500 Li
0.389 0.889 0.500 Li
0.611 0.111 0.500 Li
0.889 0.611 0.500 Li
0.156 0.656 0.000 Se
0.344 0.156 0.000 Se
0.656 0.844 0.000 Se
0.844 0.344 0.000 Se
```

space group: P4/mbm (127)
polymorph energy (0 for the lowest one): 2.47 eV/f.u.
Fermi-level density of states: 0.7 states/eV/cell
magnetization: 0.0 μB/f.u.
formation energy (no corrections): -5.23 eV/f.u.


(2)
Computed, not measured: In3CoIr after structural relaxation at the PBE level of DFT.

Structure (POSCAR):
```
In3CoIr
1.0
5.134 0.000 0.000
0.000 5.134 0.000
0.000 0.000 5.134
In Co Ir
3 1 1
direct
0.000 0.000 0.500 In
0.000 0.500 0.000 In
0.500 0.000 0.000 In
0.500 0.500 0.500 Co
0.000 0.000 0.000 Ir
```

space group: Pm-3m (221)
polymorph energy (0 for the lowest one): 0.00 eV/f.u.
Fermi-level density of states: 9.8 states/eV/cell
magnetization: 2.3 μB/f.u.
energy of formation from the pure elements: 0.594 eV/atom


(3)
Computed, not measured: LaPrHo2Tm5 after structural relaxation at the PBE level of DFT.

Structure (POSCAR):
```
LaPrHo2Tm5
1.0
-4.398 4.398 7.524
4.398 -4.398 7.524
4.398 4.398 -7.524
La Pr Ho Tm
2 2 4 10
direct
0.250 0.250 0.000 La
0.750 0.750 0.000 La
0.250 0.750 0.500 Pr
0.750 0.250 0.500 Pr
0.115 0.615 0.730 Ho
0.385 0.115 0.500 Ho
0.615 0.885 0.500 Ho
0.885 0.385 0.270 Ho
0.000 0.000 0.000 Tm
0.073 0.166 0.500 Tm
0.166 0.666 0.093 Tm
0.334 0.427 0.500 Tm
0.427 0.927 0.093 Tm
0.500 0.500 0.000 Tm
0.573 0.073 0.907 Tm
0.666 0.573 0.500 Tm
0.834 0.334 0.907 Tm
0.927 0.834 0.500 Tm
```

space group: I4/mcm (140)
Fermi-level density of states: 23.0 states/eV/cell
magnetization: 0.0 μB/f.u.
energy of formation from the pure elements: 0.275 eV/atom


(4)
Computed, not measured: TbCeDy2Tm4 after structural relaxation at the PBE level of DFT.

Structure (POSCAR):
```
TbCeDy2Tm4
1.0
4.982 0.000 0.000
0.000 4.982 0.000
0.000 0.000 9.879
Tb Ce Dy Tm
1 1 2 4
direct
0.000 0.000 0.000 Tb
0.500 0.500 0.500 Ce
0.000 0.000 0.500 Dy
0.500 0.500 0.000 Dy
0.000 0.500 0.251 Tm
0.000 0.500 0.749 Tm
0.500 0.000 0.251 Tm
0.500 0.000 0.749 Tm
```

space group: P4/mmm (123)
Fermi-level density of states: 12.4 states/eV/cell
magnetization: 0.9 μB/f.u.
energy of formation from the pure elements: 0.045 eV/atom


(5)
Computed, not measured: TlTePb2 after structural relaxation at the PBE level of DFT.

Structure (POSCAR):
```
TlTePb2
1.0
7.375 0.000 0.000
0.000 8.168 0.000
0.000 0.000 4.165
Tl Te Pb
2 2 4
direct
0.000 0.000 0.000 Tl
0.500 0.500 0.000 Tl
0.000 0.500 0.000 Te
0.500 0.000 0.000 Te
0.250 0.250 0.500 Pb
0.250 0.750 0.500 Pb
0.750 0.250 0.500 Pb
0.750 0.750 0.500 Pb
```

space group: Cmmm (65)
polymorph energy (0 for the lowest one): 0.03 eV/f.u.
Fermi-level density of states: 3.0 states/eV/cell
magnetization: 0.0 μB/f.u.
formation energy (no corrections): -0.37 eV/f.u.


(6)
Computed, not measured: La2Th2Zn after structural relaxation at the PBE level of DFT.

Structure (POSCAR):
```
La2Th2Zn
1.0
3.651 0.000 0.000
0.000 3.651 0.000
0.000 0.000 22.952
La Th Zn
4 4 2
direct
0.000 0.000 0.086 La
0.000 0.000 0.914 La
0.500 0.500 0.414 La
0.500 0.500 0.586 La
0.000 0.000 0.302 Th
0.000 0.000 0.698 Th
0.500 0.500 0.198 Th
0.500 0.500 0.802 Th
0.000 0.000 0.500 Zn
0.500 0.500 0.000 Zn
```

space group: I4/mmm (139)
Fermi-level density of states: 11.7 states/eV/cell
magnetization: 0.0 μB/f.u.
energy of formation from the pure elements: -0.113 eV/atom


(7)
Computed, not measured: CuPb2 after structural relaxation at the PBE level of DFT.

Structure (POSCAR):
```
CuPb2
1.0
11.971 0.000 0.000
0.000 3.846 0.000
-5.156 0.000 6.590
Cu Pb
4 8
direct
0.117 0.000 0.176 Cu
0.383 0.500 0.824 Cu
0.617 0.500 0.176 Cu
0.883 0.000 0.824 Cu
0.088 0.500 0.887 Pb
0.167 0.000 0.570 Pb
0.333 0.500 0.430 Pb
0.412 0.000 0.113 Pb
0.588 0.000 0.887 Pb
0.667 0.500 0.570 Pb
0.833 0.000 0.430 Pb
0.912 0.500 0.113 Pb
```

space group: C2/m (12)
Fermi-level density of states: 4.1 states/eV/cell
magnetization: 0.0 μB/f.u.
energy of formation from the pure elements: 0.109 eV/atom


(8)
Computed, not measured: Ac2NdPd2 after structural relaxation at the PBE level of DFT.

Structure (POSCAR):
```
Ac2NdPd2
1.0
6.878 -2.095 0.000
6.878 2.095 0.000
-5.822 0.000 10.529
Ac Nd Pd
4 2 4
direct
0.039 0.039 0.192 Ac
0.165 0.165 0.575 Ac
0.835 0.835 0.425 Ac
0.961 0.961 0.808 Ac
0.290 0.290 0.138 Nd
0.710 0.710 0.862 Nd
0.380 0.380 0.949 Pd
0.492 0.492 0.620 Pd
0.508 0.508 0.380 Pd
0.620 0.620 0.051 Pd
```

space group: C2/m (12)
polymorph energy (0 for the lowest one): 0.04 eV/f.u.
Fermi-level density of states: 8.2 states/eV/cell
magnetization: 0.0 μB/f.u.
energy of formation from the pure elements: -0.641 eV/atom


Question: Which value of magnetization does entry 1 give?
Answer: 0.0 μB/f.u.


Question: Among the records above, which one has the highest magnetization?
Answer: In3CoIr


Please write out number 5 again, unchanged.
Computed, not measured: TlTePb2 after structural relaxation at the PBE level of DFT.

Structure (POSCAR):
```
TlTePb2
1.0
7.375 0.000 0.000
0.000 8.168 0.000
0.000 0.000 4.165
Tl Te Pb
2 2 4
direct
0.000 0.000 0.000 Tl
0.500 0.500 0.000 Tl
0.000 0.500 0.000 Te
0.500 0.000 0.000 Te
0.250 0.250 0.500 Pb
0.250 0.750 0.500 Pb
0.750 0.250 0.500 Pb
0.750 0.750 0.500 Pb
```

space group: Cmmm (65)
polymorph energy (0 for the lowest one): 0.03 eV/f.u.
Fermi-level density of states: 3.0 states/eV/cell
magnetization: 0.0 μB/f.u.
formation energy (no corrections): -0.37 eV/f.u.


Question: What is the formula in the sixth record?
Answer: La2Th2Zn